This record from the Alexandria database describes crystalline CrGa3Sn at its relaxed geometry. The functional is GGA-PBE.

Calculated values
Spin magnetization: 0.848 Bohr magnetons per cell
Formation energy: 0.32 eV per atom
Energy above the lowest structure with this stoichiometry: 0.00 eV per formula unit
Symmetry: Pm-3m (221)

a = 4.7550 Å, b = 4.7550 Å, c = 4.7550 Å
α = 90.00°, β = 90.00°, γ = 90.00°
Closest atoms and distances in Å follow each position.
Element x y z (fractional)
Cr1 0.0000 0.0000 0.0000  6 Ga 2.38
Ga1 0.0000 0.0000 0.5000  2 Cr 2.38
Ga2 0.0000 0.5000 0.0000  2 Cr 2.38
Ga3 0.5000 0.0000 0.0000  2 Cr 2.38
Sn1 0.5000 0.5000 0.5000  12 Ga 3.36